## 1
Here is a relaxed structure of Mo2Os2Br from Alexandria. Energies are from PBE-GGA.

abc: 7.649 7.649 2.928
angles: 90.00 90.00 90.00
Positions (direct):
Mo (0.348, 0.848, 0.000)
Mo (0.848, 0.652, 0.000)
Mo (0.652, 0.152, 0.000)
Mo (0.152, 0.348, 0.000)
Os (0.133, 0.633, 0.500)
Os (0.633, 0.867, 0.500)
Os (0.867, 0.367, 0.500)
Os (0.367, 0.133, 0.500)
Br (0.000, 0.000, 0.000)
Br (0.500, 0.500, 0.000)

## Properties
SG   P4/mbm, No. 127
M_tot   0.000 μB/atom
DOS at the Fermi energy   7.3 states/eV/cell
Volume   17.1 Å³ per atom

=====

## 2
Here is a relaxed structure of Mo2Os2Br from Alexandria. Energies are from PBE-GGA.

abc: 3.879 3.879 7.028
angles: 73.98 73.98 90.00
Positions (direct):
Mo (0.376, 0.376, 0.248)
Mo (0.624, 0.624, 0.752)
Os (0.750, 0.250, 0.500)
Os (0.250, 0.750, 0.500)
Br (0.000, 0.000, 0.000)

## Properties
SG   I4/mmm, No. 139
M_tot   0.000 μB/atom
DOS at the Fermi energy   5.6 states/eV/cell
Volume   19.5 Å³ per atom

=====

Stability summary: most stable 1, least stable 2.